# 1
This record from the Alexandria database describes crystalline Ge2BRh5 at its relaxed geometry. The functional is PBE.

a = 7.7210 Å, b = 9.6243 Å, c = 2.9402 Å
α = 90.00°, β = 90.00°, γ = 90.00°
Space group Pbam (No. 55)
Asymmetric unit:
Ge: 0.1358 0.1802 0.0000
B: 0.0000 0.5000 0.5000
Rh: 0.0000 0.0000 0.5000
Rh: 0.0960 0.7027 0.5000
Rh: 0.1889 0.4355 0.0000

E_form in eV/atom: -0.364
Theoretical density in g cm⁻³: 10.2
DOS at the Fermi energy in states/eV per cell: 14.64
Raw total energy in eV per atom: -6.95


# 2
This record from the Alexandria database describes crystalline GeB2Rh5 at its relaxed geometry. The functional is PBE.

a = 3.1559 Å, b = 5.5172 Å, c = 11.6589 Å
α = 90.00°, β = 90.00°, γ = 90.00°
Space group Immm (No. 71)
Asymmetric unit:
Ge: 0.0000 0.0000 0.0000
B: 0.0000 0.5000 0.2005
Rh: 0.0000 0.2467 0.3478
Rh: 0.0000 0.5000 0.0000

E_form in eV/atom: -0.306
Theoretical density in g cm⁻³: 10.0
DOS at the Fermi energy in states/eV per cell: 10.70
Raw total energy in eV per atom: -7.15